Record 1
## BaHgPCl2 (PBE-GGA)

Data for a geometry-optimized BaHgPCl2 structure.

Properties
M_tot: 0.597 μB per atom
energy above the most stable polymorph in this dataset: 0.70 eV per formula unit
calculated volume: 266 Å³/cell
theoretical density: 2.75 g cm⁻³
formation energy from raw total energies: -589 meV per atom

```
data_BaHgPCl2
_chemical_formula_sum 'Ba1 Hg1 P1 Cl2'
_cell_length_a 5.937
_cell_length_b 5.937
_cell_length_c 7.544
_cell_angle_alpha 90.00
_cell_angle_beta 90.00
_cell_angle_gamma 90.00
_symmetry_space_group_name_H-M 'P 4/m m m'
_symmetry_Int_Tables_number 123
_symmetry_space_group_name_Hall '-P 4 2'
loop_
_atom_site_label
_atom_site_type_symbol
_atom_site_fract_x
_atom_site_fract_y
_atom_site_fract_z
_atom_site_occupancy
Ba1 Ba 0.000 0.000 0.000 1
Hg1 Hg 0.500 0.500 0.500 1
P1 P 0.000 0.000 0.500 1
Cl1 Cl 0.000 0.500 0.000 1
```

=====

Record 2
## BaHgP2Cl (PBE-GGA)

Data for a geometry-optimized BaHgP2Cl structure.

Properties
M_tot: 0.116 μB per atom
energy above the most stable polymorph in this dataset: 0.00 eV per formula unit
calculated volume: 147 Å³/cell
theoretical density: 4.92 g cm⁻³
formation energy from raw total energies: -211 meV per atom

```
data_BaHgP2Cl
_chemical_formula_sum 'Ba1 Hg1 P2 Cl1'
_cell_length_a 4.944
_cell_length_b 4.944
_cell_length_c 6.009
_cell_angle_alpha 90.00
_cell_angle_beta 90.00
_cell_angle_gamma 90.00
_symmetry_space_group_name_H-M 'P 4/m m m'
_symmetry_Int_Tables_number 123
_symmetry_space_group_name_Hall '-P 4 2'
loop_
_atom_site_label
_atom_site_type_symbol
_atom_site_fract_x
_atom_site_fract_y
_atom_site_fract_z
_atom_site_occupancy
Ba1 Ba 0.000 0.000 0.000 1
Hg1 Hg 0.500 0.500 0.500 1
P1 P 0.000 0.500 0.500 1
Cl1 Cl 0.500 0.500 0.000 1
```

=====

Record 3
## BaHgPb2Cl (PBE-GGA)

Data for a geometry-optimized BaHgPb2Cl structure.

Properties
M_tot: 0.217 μB per atom
calculated volume: 281 Å³/cell
theoretical density: 4.66 g cm⁻³
formation energy from raw total energies: 468 meV per atom

```
data_BaHgPb2Cl
_chemical_formula_sum 'Ba1 Hg1 Pb2 Cl1'
_cell_length_a 6.572
_cell_length_b 6.572
_cell_length_c 6.504
_cell_angle_alpha 90.00
_cell_angle_beta 90.00
_cell_angle_gamma 90.00
_symmetry_space_group_name_H-M 'P 4/m m m'
_symmetry_Int_Tables_number 123
_symmetry_space_group_name_Hall '-P 4 2'
loop_
_atom_site_label
_atom_site_type_symbol
_atom_site_fract_x
_atom_site_fract_y
_atom_site_fract_z
_atom_site_occupancy
Ba1 Ba 0.000 0.000 0.000 1
Hg1 Hg 0.000 0.000 0.500 1
Pb1 Pb 0.000 0.500 0.000 1
Cl1 Cl 0.500 0.500 0.500 1
```

=====

Record 4
## BaHgPbCl6 (PBE-GGA)

Data for a geometry-optimized BaHgPbCl6 structure.

Properties
M_tot: 0.000 μB per atom
calculated volume: 606 Å³/cell
theoretical density: 4.15 g cm⁻³
formation energy from raw total energies: -1393 meV per atom

```
data_BaHgPbCl6
_chemical_formula_sum 'Ba2 Hg2 Pb2 Cl12'
_cell_length_a 7.2482
_cell_length_b 7.2482
_cell_length_c 13.3176
_cell_angle_alpha 90.00
_cell_angle_beta 90.00
_cell_angle_gamma 120.00
_symmetry_space_group_name_H-M 'P -3 1 c'
_symmetry_Int_Tables_number 163
_symmetry_space_group_name_Hall '-P 3 2c'
loop_
_atom_site_label
_atom_site_type_symbol
_atom_site_fract_x
_atom_site_fract_y
_atom_site_fract_z
_atom_site_occupancy
Ba1 Ba 0.0000 0.0000 0.0000 1
Hg1 Hg 0.3333 0.6667 0.2500 1
Pb1 Pb 0.3333 0.6667 0.7500 1
Cl1 Cl 0.0200 0.3654 0.1322 1
```